# 1
# Tb2Pm12Sc5

Tb2Pm12Sc5 after structural relaxation (PBE, Alexandria via LeMat-Bulk).

Structure (POSCAR):
```
Tb2Pm12Sc5
1.0
6.884 -5.405 0.000
6.884 5.405 0.000
-1.275 0.000 8.225
Tb Pm Sc
2 12 5
Direct
0.223 0.777 0.000
0.777 0.223 0.000
0.079 0.079 0.719
0.115 0.520 0.196
0.124 0.654 0.607
0.346 0.876 0.393
0.363 0.363 0.871
0.480 0.885 0.804
0.520 0.115 0.196
0.637 0.637 0.129
0.654 0.124 0.607
0.876 0.346 0.393
0.885 0.480 0.804
0.921 0.921 0.281
0.144 0.144 0.130
0.265 0.265 0.482
0.500 0.500 0.500
0.735 0.735 0.518
0.856 0.856 0.870
```

Output
Space group: C2/m, No. 12
Calculated formation energy (kJ/mol of formula units): 268
N(E_F) (states/eV per atom): 1.514
V (Å³/f.u.): 612



# 2
# CsRbICl6

CsRbICl6 after structural relaxation (PBE, Alexandria via LeMat-Bulk).

Structure (POSCAR):
```
CsRbICl6
1.0
7.381 0.000 0.000
-0.018 7.726 0.000
-0.001 -3.221 7.073
Cs Rb I Cl
1 1 1 6
Direct
0.000 0.000 0.000
0.500 0.310 0.693
0.504 0.665 0.335
0.245 0.951 0.612
0.315 0.669 0.067
0.317 0.393 0.335
0.690 0.939 0.336
0.693 0.661 0.602
0.764 0.395 0.045
```

Output
Space group: P1, No. 1
N(E_F) (states/eV per atom): 0.072
ΔE_f (raw) (eV/f.u.): -8.21
V (Å³/f.u.): 403



# 3
# YIr2Cl

YIr2Cl after structural relaxation (PBE, Alexandria via LeMat-Bulk).

Structure (POSCAR):
```
YIr2Cl
1.0
3.169 0.000 0.000
-1.584 2.744 0.000
0.000 0.000 25.776
Y Ir Cl
3 6 3
Direct
0.000 0.000 0.000
0.333 0.667 0.667
0.667 0.333 0.333
0.000 0.000 0.248
0.000 0.000 0.752
0.333 0.667 0.419
0.333 0.667 0.914
0.667 0.333 0.086
0.667 0.333 0.581
0.000 0.000 0.500
0.333 0.667 0.167
0.667 0.333 0.833
```

Output
Space group: R-3m, No. 166
N(E_F) (states/eV per atom): 0.684
Energy relative to the lowest polymorph listed for this composition (eV per formula unit): 3.57
ΔE_f (raw) (eV/f.u.): 1.36
V (Å³/f.u.): 75



# 4
# AcGa3Cu3

AcGa3Cu3 after structural relaxation (PBE, Alexandria via LeMat-Bulk).

Structure (POSCAR):
```
AcGa3Cu3
1.0
7.157 0.000 0.000
0.000 4.333 0.000
-3.481 0.000 8.422
Ac Ga Cu
2 6 6
Direct
0.049 0.250 0.221
0.951 0.750 0.779
0.231 0.250 0.682
0.333 0.750 0.117
0.466 0.750 0.703
0.534 0.250 0.297
0.667 0.250 0.883
0.769 0.750 0.318
0.127 0.750 0.502
0.375 0.250 0.987
0.445 0.750 0.418
0.555 0.250 0.582
0.625 0.750 0.013
0.873 0.250 0.498
```

Output
Space group: P2_1/m, No. 11
Calculated formation energy (kJ/mol of formula units): -170
N(E_F) (states/eV per atom): 0.431
Energy relative to the lowest polymorph listed for this composition (eV per formula unit): 0.00
V (Å³/f.u.): 131



# 5
# Dy5Er2Tl

Dy5Er2Tl after structural relaxation (PBE, Alexandria via LeMat-Bulk).

Structure (POSCAR):
```
Dy5Er2Tl
1.0
3.414 0.000 0.000
0.000 11.086 0.000
0.000 0.000 12.803
Dy Er Tl
10 4 2
Direct
0.000 0.000 0.000
0.000 0.268 0.368
0.000 0.268 0.632
0.000 0.732 0.368
0.000 0.732 0.632
0.500 0.232 0.132
0.500 0.232 0.868
0.500 0.500 0.500
0.500 0.768 0.132
0.500 0.768 0.868
0.000 0.000 0.268
0.000 0.000 0.732
0.500 0.500 0.232
0.500 0.500 0.768
0.000 0.500 0.000
0.500 0.000 0.500
```

Output
Space group: Immm, No. 71
Calculated formation energy (kJ/mol of formula units): -3
N(E_F) (states/eV per atom): 1.347
Energy relative to the lowest polymorph listed for this composition (eV per formula unit): 0.00
V (Å³/f.u.): 242



# 6
# Tb6Co2Ru

Tb6Co2Ru after structural relaxation (PBE, Alexandria via LeMat-Bulk).

Structure (POSCAR):
```
Tb6Co2Ru
1.0
-4.696 4.706 4.785
4.696 -4.706 4.785
4.696 4.706 -4.785
Tb Co Ru
12 4 2
Direct
0.013 0.828 0.185
0.258 0.325 0.583
0.258 0.675 0.933
0.263 0.578 0.315
0.263 0.949 0.685
0.357 0.172 0.185
0.643 0.828 0.815
0.737 0.051 0.315
0.737 0.422 0.685
0.742 0.325 0.067
0.742 0.675 0.417
0.987 0.172 0.815
0.000 0.166 0.166
0.000 0.834 0.834
0.387 0.387 0.000
0.613 0.613 0.000
0.000 0.500 0.500
0.500 0.000 0.500
```

Output
Space group: Immm, No. 71
Calculated formation energy (kJ/mol of formula units): -174
N(E_F) (states/eV per atom): 0.939
Energy relative to the lowest polymorph listed for this composition (eV per formula unit): 0.00
V (Å³/f.u.): 211